{
  "formula": "Zn2HgPb",
  "functional": "meta-GGA SCAN",
  "state": "single point on PBEsol structure",
  "density_g_cm3": 10.783,
  "e_above_lowest_polymorph_ev_per_atom": 0.138,
  "ef_ev_per_atom": 0.274,
  "lattice_angstrom": [[4.8952, 0.0000, 0.0000], [2.4476, 4.2394, 0.0000], [2.4476, 1.4131, 3.9969]],
  "species": ["Zn", "Zn", "Pb", "Hg"],
  "frac_coords": [[0.2500, 0.2500, 0.2500], [0.7500, 0.7500, 0.7500], [0.5000, 0.5000, 0.5000], [0.0000, 0.0000, 0.0000]]
}